{
  "formula": "NbSbSeI2",
  "functional": "meta-GGA SCAN",
  "state": "single point on PBEsol structure",
  "lattice_angstrom": [[-1.125, -3.041, -4.120], [4.453, 1.502, -2.325], [2.682, -4.240, 2.398]],
  "species": ["I", "I", "Sb", "Nb", "Se"],
  "frac_coords": [[0.000, 0.500, 0.000], [0.500, 0.000, 0.000], [0.000, 0.000, 0.500], [0.000, 0.000, 0.000], [0.500, 0.500, 0.500]],
  "m_tot_mub_per_atom": 0.000,
  "e_form_raw_ev_per_atom": 0.463
}